Entry 1:
## RbSr2Hg (PBE)

Data for RbSr2Hg after structural relaxation.

Its space-group type is P4/mmm (123). The total magnetic moment is 0.000 μB/f.u. Its formation energy is -0.87 eV per formula unit. As for the crystal system: tetragonal.

Cell and atoms, written as extended XYZ:
```
4
Lattice="4.113 0.000 0.000 0.000 4.113 0.000 0.000 0.000 11.416" Properties=species:S:1:pos:R:3 pbc="T T T"
Rb 0.000 0.000 0.000
Sr 2.057 2.057 3.824
Sr 2.057 2.057 7.592
Hg 0.000 0.000 5.708
```

Entry 2:
## CdCuBi2 (PBE)

Data for CdCuBi2 after structural relaxation.

Its space-group type is R3m (160). The total magnetic moment is 0.000 μB/f.u. Its formation energy is 0.55 eV per formula unit. As for the crystal system: trigonal.

Cell and atoms, written as extended XYZ:
```
12
Lattice="4.422 0.000 0.000 -2.211 3.829 0.000 0.000 0.000 18.966" Properties=species:S:1:pos:R:3 pbc="T T T"
Cd 0.000 0.000 0.000
Cd 0.000 2.553 12.644
Cd 2.211 1.276 6.322
Cu 0.000 0.000 15.975
Cu 0.000 2.553 9.653
Cu 2.211 1.276 3.331
Bi 0.000 0.000 4.416
Bi 0.000 0.000 8.263
Bi 0.000 2.553 1.941
Bi 0.000 2.553 17.060
Bi 2.211 1.276 10.738
Bi 2.211 1.276 14.585
```

Entry 3:
## K2TiNb2S6 (PBE)

Data for K2TiNb2S6 after structural relaxation.

Its space-group type is C2/m (12). The total magnetic moment is 0.003 μB/f.u. As for the crystal system: monoclinic. As for the energy relative to the elements, uncorrected: -1.22 eV per atom.

Cell and atoms, written as extended XYZ:
```
11
Lattice="3.055 -5.261 0.000 3.055 5.261 0.000 -1.789 0.000 7.721" Properties=species:S:1:pos:R:3 pbc="T T T"
K 3.055 3.404 0.000
K 3.055 -3.404 0.000
Ti -0.894 0.000 3.861
Nb 2.160 1.478 3.861
Nb 2.160 -1.478 3.861
S 0.121 1.753 5.270
S 1.050 0.000 2.260
S 0.121 -1.753 5.270
S 4.200 1.753 2.452
S 3.271 0.000 5.462
S 4.200 -1.753 2.452
```

Entry 4:
## MgCoH2 (PBE)

Data for MgCoH2 after structural relaxation.

Its space-group type is I-42d (122). As for the total energy: -3.922 eV per atom. The total magnetic moment is 0.000 μB/f.u. As for the crystal system: tetragonal.

Cell and atoms, written as extended XYZ:
```
16
Lattice="4.000 0.000 0.000 0.000 4.000 0.000 0.000 0.000 8.648" Properties=species:S:1:pos:R:3 pbc="T T T"
Mg 0.000 0.000 0.000
Mg 0.000 2.000 2.162
Mg 2.000 0.000 6.486
Mg 2.000 2.000 4.324
Co 0.000 0.000 4.324
Co 0.000 2.000 6.486
Co 2.000 0.000 2.162
Co 2.000 2.000 0.000
H 0.640 1.000 5.405
H 1.000 2.640 7.567
H 1.000 3.360 3.243
H 1.360 1.000 1.081
H 2.640 3.000 1.081
H 3.000 0.640 3.243
H 3.000 1.360 7.567
H 3.360 3.000 5.405
```

Entry 5:
## CeInAg2 (PBE)

Data for CeInAg2 after structural relaxation.

Its space-group type is Fm-3m (225). The total magnetic moment is 0.761 μB/f.u. Its formation energy is -1.05 eV per formula unit. As for the crystal system: cubic. The value obtained for the polymorph energy (0 for the lowest one) is 0.00 eV/f.u.

Cell and atoms, written as extended XYZ:
```
16
Lattice="7.135 0.000 0.000 0.000 7.135 0.000 0.000 0.000 7.135" Properties=species:S:1:pos:R:3 pbc="T T T"
Ce 0.000 0.000 0.000
Ce 0.000 3.567 3.567
Ce 3.567 0.000 3.567
Ce 3.567 3.567 0.000
In 0.000 0.000 3.567
In 0.000 3.567 0.000
In 3.567 0.000 0.000
In 3.567 3.567 3.567
Ag 1.784 1.784 1.784
Ag 1.784 1.784 5.351
Ag 1.784 5.351 1.784
Ag 1.784 5.351 5.351
Ag 5.351 1.784 1.784
Ag 5.351 1.784 5.351
Ag 5.351 5.351 1.784
Ag 5.351 5.351 5.351
```

Entry 6:
## Ta2BeCu (PBE)

Data for Ta2BeCu after structural relaxation.

Its space-group type is Amm2 (38). The total magnetic moment is 0.000 μB/f.u. Its formation energy is 0.16 eV per formula unit. As for the crystal system: orthorhombic.

Cell and atoms, written as extended XYZ:
```
8
Lattice="3.744 0.000 0.000 0.000 3.104 0.000 0.000 0.000 9.927" Properties=species:S:1:pos:R:3 pbc="T T T"
Ta 0.000 0.000 0.000
Ta 0.000 1.552 4.963
Ta 1.872 0.000 3.255
Ta 1.872 1.552 8.219
Be 1.872 0.000 5.894
Be 1.872 1.552 0.930
Cu 0.000 0.000 7.184
Cu 0.000 1.552 2.221
```

Entry 7:
## MnNbRu3 (PBE)

Data for MnNbRu3 after structural relaxation.

Its space-group type is Pm-3m (221). The total magnetic moment is 1.693 μB/f.u. Its formation energy is 9.99 eV per formula unit. As for the crystal system: cubic. The value obtained for the polymorph energy (0 for the lowest one) is 4.77 eV/f.u.

Cell and atoms, written as extended XYZ:
```
5
Lattice="4.646 0.000 0.000 0.000 4.646 0.000 0.000 0.000 4.646" Properties=species:S:1:pos:R:3 pbc="T T T"
Mn 0.000 0.000 0.000
Nb 2.323 2.323 2.323
Ru 0.000 2.323 2.323
Ru 2.323 0.000 2.323
Ru 2.323 2.323 0.000
```

Entry 8:
## ZrTaCr2 (PBE)

Data for ZrTaCr2 after structural relaxation.

Its space-group type is Fm-3m (225). The total magnetic moment is 2.479 μB/f.u. Its formation energy is 0.60 eV per formula unit. As for the crystal system: cubic. The value obtained for the polymorph energy (0 for the lowest one) is 0.03 eV/f.u.

Cell and atoms, written as extended XYZ:
```
16
Lattice="6.338 0.000 0.000 0.000 6.338 0.000 0.000 0.000 6.338" Properties=species:S:1:pos:R:3 pbc="T T T"
Zr 0.000 0.000 0.000
Zr 0.000 3.169 3.169
Zr 3.169 0.000 3.169
Zr 3.169 3.169 0.000
Ta 0.000 0.000 3.169
Ta 0.000 3.169 0.000
Ta 3.169 0.000 0.000
Ta 3.169 3.169 3.169
Cr 1.584 1.584 1.584
Cr 1.584 1.584 4.753
Cr 1.584 4.753 1.584
Cr 1.584 4.753 4.753
Cr 4.753 1.584 1.584
Cr 4.753 1.584 4.753
Cr 4.753 4.753 1.584
Cr 4.753 4.753 4.753
```

Entry 9:
## LaHgTeAu2 (PBE)

Data for LaHgTeAu2 after structural relaxation.

Its space-group type is P4/mmm (123). The total magnetic moment is 0.000 μB/f.u. As for the crystal system: tetragonal. As for the energy relative to the elements, uncorrected: -0.10 eV per atom.

Cell and atoms, written as extended XYZ:
```
5
Lattice="5.171 0.000 0.000 0.000 5.171 0.000 0.000 0.000 5.658" Properties=species:S:1:pos:R:3 pbc="T T T"
La 0.000 0.000 0.000
Hg 2.586 2.586 2.829
Te 2.586 2.586 0.000
Au 0.000 2.586 2.829
Au 2.586 0.000 2.829
```

Entry 10:
## ZnInSe2N (PBE)

Data for ZnInSe2N after structural relaxation.

Its space-group type is P4/mmm (123). The total magnetic moment is 0.096 μB/f.u. As for the crystal system: tetragonal. As for the energy relative to the elements, uncorrected: 0.65 eV per atom. The value obtained for the polymorph energy (0 for the lowest one) is 0.00 eV/f.u.

Cell and atoms, written as extended XYZ:
```
5
Lattice="5.188 0.000 0.000 0.000 5.188 0.000 0.000 0.000 3.726" Properties=species:S:1:pos:R:3 pbc="T T T"
Zn 0.000 0.000 0.000
In 2.594 2.594 1.863
Se 0.000 2.594 0.000
Se 2.594 0.000 0.000
N 0.000 0.000 1.863
```

Entry 11:
## YMg3Pd (PBE)

Data for YMg3Pd after structural relaxation.

Its space-group type is P2_1/m (11). The total magnetic moment is 0.000 μB/f.u. Its formation energy is -2.00 eV per formula unit. As for the crystal system: monoclinic. The value obtained for the polymorph energy (0 for the lowest one) is 0.00 eV/f.u.

Cell and atoms, written as extended XYZ:
```
10
Lattice="5.487 0.000 0.000 0.000 5.823 0.000 -2.338 0.000 7.066" Properties=species:S:1:pos:R:3 pbc="T T T"
Y -0.358 1.456 2.764
Y 3.506 4.367 4.302
Mg -1.935 1.456 6.337
Mg 0.858 0.000 5.622
Mg 0.858 2.911 5.622
Mg 2.291 5.822 1.444
Mg 2.291 2.912 1.444
Mg 5.084 4.367 0.729
Pd 0.723 4.367 3.274
Pd 2.426 1.456 3.793
```

Entry 12:
## Y5In4Pd2 (PBE)

Data for Y5In4Pd2 after structural relaxation.

Its space-group type is Pbam (55). The total magnetic moment is 0.000 μB/f.u. Its formation energy is -7.76 eV per formula unit. As for the crystal system: orthorhombic.

Cell and atoms, written as extended XYZ:
```
22
Lattice="8.103 0.000 0.000 0.000 18.282 0.000 0.000 0.000 3.665" Properties=species:S:1:pos:R:3 pbc="T T T"
Y 0.000 0.000 0.000
Y 0.950 7.626 0.000
Y 1.956 3.996 0.000
Y 2.095 13.137 0.000
Y 3.101 16.767 0.000
Y 4.052 9.141 0.000
Y 5.002 1.516 0.000
Y 6.008 5.145 0.000
Y 6.147 14.286 0.000
Y 7.153 10.657 0.000
In 0.639 15.543 1.833
In 1.695 10.385 1.833
In 2.357 1.244 1.833
In 3.413 6.401 1.833
In 4.691 11.881 1.833
In 5.746 17.039 1.833
In 6.409 7.898 1.833
In 7.464 2.740 1.833
Pd 0.213 5.557 1.833
Pd 3.838 14.699 1.833
Pd 4.265 3.584 1.833
Pd 7.890 12.725 1.833
```